MnZn2Os: optimized geometry, PBE.

Output
E_form, eV per atom: 0.21
DFT total energy, eV/atom: -5.52
ΔE to the lowest computed polymorph, eV/atom: 0.1820

Unit cell a=3.176 b=3.176 c=5.552 alpha=90.00 beta=90.00 gamma=90.00
Site moments in Bohr magnetons follow the coordinates.
Positions (direct):
1 Zn 0.000 0.000 0.997  -0.03
2 Zn 0.000 0.000 0.503  -0.03
3 Mn 0.500 0.500 0.250  3.46
4 Os 0.500 0.500 0.750  0.45

TlInSe2: optimized geometry, PBE.

Output
Formation energy without anion corrections, eV per atom: -0.127
DFT total energy, eV/atom: -3.15

Unit cell a=5.237 b=5.237 c=3.650 alpha=90.00 beta=90.00 gamma=90.08
Positions (direct):
1 Se 0.500 0.500 0.000
2 Se 0.000 0.000 0.000
3 In 0.000 0.500 0.500
4 Tl 0.500 0.000 0.500

PmYZn4: optimized geometry, PBE.

Output
E_form, eV per atom: -0.37
DFT total energy, eV/atom: -3.09
ΔE to the lowest computed polymorph, eV/atom: 0.0000

Unit cell a=4.501 b=5.762 c=5.762 alpha=77.47 beta=67.01 gamma=67.01
Positions (direct):
1 Y 0.000 0.000 0.000
2 Zn 0.334 0.919 0.414
3 Zn 0.334 0.414 0.919
4 Zn 0.666 0.081 0.586
5 Zn 0.666 0.586 0.081
6 Pm 0.000 0.500 0.500

Cu2GeRhAu: optimized geometry, PBE.

Output
E_form, eV per atom: 0.66
DFT total energy, eV/atom: -4.03

Unit cell a=4.697 b=4.566 c=4.697 alpha=90.00 beta=90.00 gamma=90.00
Positions (direct):
1 Au 0.500 0.500 0.500
2 Ge 0.000 0.500 0.000
3 Cu 0.500 0.000 0.000
4 Cu 0.000 0.000 0.500
5 Rh 0.000 0.000 0.000

La2PmIr: optimized geometry, PBE.

Output
E_form, eV per atom: -0.48
DFT total energy, eV/atom: -6.34
ΔE to the lowest computed polymorph, eV/atom: 0.0000

Unit cell a=6.529 b=7.418 c=10.123 alpha=90.00 beta=90.00 gamma=90.00
Positions (direct):
1 La 0.827 0.328 0.933
2 La 0.173 0.672 0.067
3 La 0.673 0.828 0.933
4 La 0.827 0.328 0.567
5 La 0.173 0.672 0.433
6 La 0.673 0.828 0.567
7 La 0.327 0.172 0.433
8 La 0.327 0.172 0.067
9 Ir 0.568 0.122 0.750
10 Ir 0.932 0.622 0.750
11 Ir 0.068 0.378 0.250
12 Ir 0.432 0.878 0.250
13 Pm 0.652 0.536 0.250
14 Pm 0.152 0.964 0.750
15 Pm 0.848 0.036 0.250
16 Pm 0.348 0.464 0.750

KRbCd2Cl6: optimized geometry, PBE.

Output
Formation energy without anion corrections, eV per atom: -1.436
DFT total energy, eV/atom: -2.93

Unit cell a=7.422 b=9.963 c=9.963 alpha=88.93 beta=83.94 gamma=83.94
Positions (direct):
1 K 0.250 0.296 0.704
2 K 0.750 0.704 0.296
3 Cl 0.374 0.853 0.398
4 Cl 0.586 0.410 0.292
5 Cl 0.126 0.602 0.147
6 Cl 0.914 0.708 0.590
7 Cl 0.833 0.018 0.217
8 Cl 0.874 0.398 0.853
9 Cl 0.333 0.217 0.018
10 Cl 0.414 0.590 0.708
11 Cl 0.626 0.147 0.602
12 Cl 0.667 0.783 0.982
13 Cl 0.167 0.982 0.783
14 Cl 0.086 0.292 0.410
15 Rb 0.750 0.097 0.903
16 Rb 0.250 0.903 0.097
17 Cd 0.277 0.382 0.203
18 Cd 0.723 0.618 0.797
19 Cd 0.777 0.203 0.382
20 Cd 0.223 0.797 0.618